# 1
DFT (SCAN) results for a crystal of ZrSeSBr2 relaxed with PBEsol.

Calculated values
Calculated total energy, eV/atom: -20.329
SG: No. 123
Formation energy from raw total energies, kJ per mole of atoms: -44.8

Cell lengths 5.2419, 5.2419, 5.1246 Å; angles 90.00, 90.00, 90.00 degrees
Last column: nearest neighbours and their distance in Å.
Element x y z (fractional)
Zr  0.0000  0.0000  0.0000  2 Se 2.56, 4 Br 2.62
Se  0.0000  0.0000  0.5000  2 Zr 2.56
S  0.5000  0.5000  0.5000  8 Br 3.67, 4 Se 3.71
Br  0.0000  0.5000  0.0000  2 Zr 2.62
Br  0.5000  0.0000  0.0000  2 Zr 2.62

# 2
DFT (SCAN) results for a crystal of ScCo2Hg relaxed with PBEsol.

Calculated values
Calculated total energy, eV/atom: -29.311
ΔE_f, eV/atom: -0.06
SG: No. 119

Cell lengths 4.8888, 4.8888, 4.8888 Å; angles 134.76, 134.76, 65.90 degrees
Last column: nearest neighbours and their distance in Å.
Element x y z (fractional)
Sc  0.0000  0.0000  0.0000  8 Co 2.66-2.78, 4 Hg 2.78
Co  0.5000  0.5000  0.0000  4 Sc 2.66, 4 Hg 2.78, 4 Co 2.78
Co  0.7500  0.2500  0.5000  4 Hg 2.66, 4 Co 2.78, 4 Sc 2.78
Hg  0.2500  0.7500  0.5000  8 Co 2.66-2.78, 4 Sc 2.78